No. 1
A plane-wave DFT calculation with PBE-GGA was carried out for a relaxed TbTi4Se8 crystal.

Unit cell a=7.2466 b=7.2466 c=20.1836 alpha=90.00 beta=90.00 gamma=120.00
Space group R-3m (No. 166, hexagonal axes)
Symmetry-distinct sites (fractional):
Tb  0.0000  0.0000  0.0000 x3
Ti  0.0000  0.0000  0.5000 x3
Ti  0.0000  0.5000  0.5000 x9
Se  0.0000  0.0000  0.2409 x6
Se  0.0089  0.5045  0.2435 x18

Values from the calculation:
The calculation puts the calculated total energy at -6.21 eV/atom. As for the total magnetization: 3.66 μB/cell. As for the formation energy from raw total energies: -16.65 eV/f.u.

No. 2
A plane-wave DFT calculation with PBE-GGA was carried out for a relaxed KBaEuSn crystal.

Unit cell a=8.5489 b=8.5489 c=8.5489 alpha=90.00 beta=90.00 gamma=90.00
Space group F-43m (No. 216)
Symmetry-distinct sites (fractional):
K  0.0000  0.0000  0.0000 x4
Ba  0.2500  0.2500  0.2500 x4
Eu  0.2500  0.2500  0.7500 x4
Sn  0.0000  0.0000  0.5000 x4

Values from the calculation:
The calculation puts the calculated total energy at -4.56 eV/atom. As for the total magnetization: 31.01 μB/cell. As for the energy of formation from the pure elements: -0.23 eV per atom.

No. 3
A plane-wave DFT calculation with PBE-GGA was carried out for a relaxed CsGe6Br12 crystal.

Unit cell a=14.5896 b=14.5896 c=10.2844 alpha=90.00 beta=90.00 gamma=120.00
Space group R-3m (No. 166, hexagonal axes)
Symmetry-distinct sites (fractional):
Cs  0.0000  0.0000  0.0000 x3
Ge  0.0904  0.5452  0.3205 x18
Br  0.0000  0.3828  0.5000 x18
Br  0.0868  0.1737  0.3326 x18

Values from the calculation:
The calculation puts the calculated total energy at -3.03 eV/atom. As for the total magnetization: 0.00 μB/cell. As for the formation energy from raw total energies: -8.96 eV/f.u.

No. 4
A plane-wave DFT calculation with PBE-GGA was carried out for a relaxed SnB2Pt2 crystal.

Unit cell a=3.2369 b=3.2369 c=13.9490 alpha=90.00 beta=90.00 gamma=90.00
Space group I4/mmm (No. 139)
Symmetry-distinct sites (fractional):
Sn  0.0000  0.0000  0.0000 x2
B  0.0000  0.5000  0.2500 x4
Pt  0.0000  0.0000  0.3500 x4

Values from the calculation:
The calculation puts the calculated total energy at -6.02 eV/atom. As for the total magnetization: 0.00 μB/cell. As for the energy of formation from the pure elements: -0.13 eV per atom.

No. 5
A plane-wave DFT calculation with PBE-GGA was carried out for a relaxed Cs2HfBr crystal.

Unit cell a=9.3578 b=9.3578 c=9.3578 alpha=90.00 beta=90.00 gamma=90.00
Space group Fm-3m (No. 225)
Symmetry-distinct sites (fractional):
Cs  0.2500  0.2500  0.2500 x8
Hf  0.0000  0.0000  0.0000 x4
Br  0.0000  0.0000  0.5000 x4

Values from the calculation:
The calculation puts the calculated total energy at -2.80 eV/atom. As for the polymorph energy (0 for the lowest one): 0.81 eV per formula unit. As for the total magnetization: 12.00 μB/cell. As for the formation energy from raw total energies: 2.14 eV/f.u.

No. 6
A plane-wave DFT calculation with PBE-GGA was carried out for a relaxed BaBeGa crystal.

Unit cell a=4.3718 b=3.9954 c=9.6598 alpha=90.00 beta=93.50 gamma=90.00
Space group P2_1/m (No. 11)
Symmetry-distinct sites (fractional):
Ba  0.2257  0.2500  0.2906 x2
Be  0.1316  0.7500  0.0130 x2
Ga  0.3507  0.2500  0.9076 x2

Values from the calculation:
The calculation puts the calculated total energy at -3.06 eV/atom. As for the polymorph energy (0 for the lowest one): 0.00 eV per formula unit. As for the total magnetization: 0.00 μB/cell. As for the energy of formation from the pure elements: -0.16 eV per atom.

Q: What is the calculated total energy in the fifth record?
A: -2.80 eV/atom

Q: The lowest calculated total energy belongs to which entry?
A: TbTi4Se8

Q: Look up the calculated total energy of the first one.
A: -6.21 eV/atom